Entry 1:
A plane-wave DFT calculation with PBE was carried out for a geometry-optimized SmBeBPt6 structure.

Unit cell a=7.643 b=7.643 c=7.643 alpha=125.15 beta=115.62 gamma=89.54
Atoms (fractional coordinates):
Sm 0.405 0.155 0.250
Sm 0.595 0.845 0.750
Be 0.000 0.000 0.500
Be 0.000 0.500 0.000
B 0.000 0.500 0.500
B 0.500 0.500 0.000
Pt 0.105 0.402 0.253
Pt 0.105 0.852 0.703
Pt 0.130 0.880 0.250
Pt 0.317 0.567 0.750
Pt 0.351 0.148 0.753
Pt 0.351 0.598 0.203
Pt 0.649 0.402 0.797
Pt 0.649 0.852 0.247
Pt 0.683 0.433 0.250
Pt 0.870 0.120 0.750
Pt 0.895 0.148 0.297
Pt 0.895 0.598 0.747

Results
* uncorrected energy: -111.9 eV per cell
* formation enthalpy at 0 K: -49.2 kJ/mol of atoms
* DOS at the Fermi energy: 7.951 states/eV per cell
* calculated volume: 17.3 Å³ per atom
* SG: Imma (74)



Entry 2:
A plane-wave DFT calculation with PBE was carried out for a geometry-optimized Re2SbBr structure.

Unit cell a=6.893 b=6.893 c=6.893 alpha=129.11 beta=129.11 gamma=74.84
Atoms (fractional coordinates):
Re 0.094 0.625 0.969
Re 0.375 0.344 0.469
Re 0.656 0.125 0.031
Re 0.875 0.906 0.531
Sb 0.250 0.750 0.500
Sb 0.500 0.500 0.000
Br 0.000 0.000 0.000
Br 0.750 0.250 0.500

Results
* raw formation energy: 1.60 eV per atom
* uncorrected energy: -48.6 eV per cell
* DOS at the Fermi energy: 7.495 states/eV per cell
* calculated volume: 24.0 Å³ per atom
* SG: I-42d (122)



Entry 3:
A plane-wave DFT calculation with PBE was carried out for a geometry-optimized ZnSiMo2 structure.

Unit cell a=4.786 b=4.786 c=4.786 alpha=132.44 beta=132.44 gamma=69.53
Atoms (fractional coordinates):
Zn 0.000 0.000 0.000
Si 0.500 0.500 0.000
Mo 0.250 0.750 0.500
Mo 0.750 0.250 0.500

Results
* raw formation energy: 0.13 eV per atom
* uncorrected energy: -27.8 eV per cell
* DOS at the Fermi energy: 3.419 states/eV per cell
* calculated volume: 14.6 Å³ per atom
* SG: I4/mmm (139)



Entry 4:
A plane-wave DFT calculation with PBE was carried out for a geometry-optimized MgAsAu structure.

Unit cell a=4.848 b=4.848 c=5.606 alpha=90.00 beta=90.00 gamma=120.00
Atoms (fractional coordinates):
Mg 0.333 0.667 0.250
Mg 0.667 0.333 0.750
As 0.333 0.667 0.750
As 0.667 0.333 0.250
Au 0.000 0.000 0.000
Au 0.000 0.000 0.500

Results
* uncorrected energy: -20.0 eV per cell
* formation enthalpy at 0 K: -16.0 kJ/mol of atoms
* DOS at the Fermi energy: 1.418 states/eV per cell
* calculated volume: 19.0 Å³ per atom
* SG: P6_3/mmc (194)



Entry 5:
A plane-wave DFT calculation with PBE was carried out for a geometry-optimized KDyIn2Cl6 structure.

Unit cell a=7.781 b=7.788 c=7.947 alpha=90.02 beta=119.30 gamma=119.97
Atoms (fractional coordinates):
K 0.000 0.000 0.000
Dy 0.015 0.508 0.523
In 0.422 0.211 0.634
In 0.429 0.714 0.144
Cl 0.128 0.752 0.312
Cl 0.160 0.845 0.782
Cl 0.468 0.622 0.782
Cl 0.560 0.376 0.313
Cl 0.936 0.184 0.312
Cl 0.937 0.315 0.782

Results
* raw formation energy: -1.66 eV per atom
* uncorrected energy: -38.8 eV per cell
* DOS at the Fermi energy: 0.000 states/eV per cell
* calculated volume: 34.4 Å³ per atom
* SG: P1 (1)



Entry 6:
A plane-wave DFT calculation with PBE was carried out for a geometry-optimized PrSc2GeN4 structure.

Unit cell a=5.844 b=5.844 c=11.115 alpha=90.00 beta=90.00 gamma=146.61
Atoms (fractional coordinates):
Pr 0.097 0.903 0.750
Pr 0.903 0.097 0.250
Sc 0.370 0.630 0.538
Sc 0.370 0.630 0.962
Sc 0.630 0.370 0.038
Sc 0.630 0.370 0.462
Ge 0.165 0.835 0.250
Ge 0.835 0.165 0.750
N 0.000 0.000 0.000
N 0.000 0.000 0.500
N 0.265 0.735 0.118
N 0.265 0.735 0.382
N 0.420 0.580 0.750
N 0.580 0.420 0.250
N 0.735 0.265 0.618
N 0.735 0.265 0.882

Results
* raw formation energy: -1.12 eV per atom
* uncorrected energy: -128.6 eV per cell
* DOS at the Fermi energy: 2.830 states/eV per cell
* calculated volume: 13.1 Å³ per atom
* SG: Cmcm (63)



Entry 7:
A plane-wave DFT calculation with PBE was carried out for a geometry-optimized Y8Te3Pt3Se structure.

Unit cell a=8.574 b=8.574 c=8.574 alpha=58.16 beta=58.16 gamma=58.16
Atoms (fractional coordinates):
Y 0.224 0.749 0.749
Y 0.237 0.237 0.237
Y 0.251 0.251 0.776
Y 0.251 0.776 0.251
Y 0.749 0.224 0.749
Y 0.749 0.749 0.224
Y 0.763 0.763 0.763
Y 0.776 0.251 0.251
Te 0.000 0.500 0.500
Te 0.500 0.000 0.500
Te 0.500 0.500 0.000
Pt 0.000 0.000 0.500
Pt 0.000 0.500 0.000
Pt 0.500 0.000 0.000
Se 0.500 0.500 0.500

Results
* raw formation energy: -1.21 eV per atom
* uncorrected energy: -100.9 eV per cell
* DOS at the Fermi energy: 11.511 states/eV per cell
* calculated volume: 28.5 Å³ per atom
* SG: R-3m (166)



Entry 8:
A plane-wave DFT calculation with PBE was carried out for a geometry-optimized NiMo2Pt2 structure.

Unit cell a=4.801 b=4.801 c=6.161 alpha=129.75 beta=129.75 gamma=46.37
Atoms (fractional coordinates):
Ni 0.000 0.000 0.000
Mo 0.212 0.212 0.813
Mo 0.788 0.788 0.187
Pt 0.410 0.410 0.620
Pt 0.590 0.590 0.380

Results
* uncorrected energy: -40.5 eV per cell
* formation enthalpy at 0 K: -19.1 kJ/mol of atoms
* DOS at the Fermi energy: 4.631 states/eV per cell
* calculated volume: 14.8 Å³ per atom
* SG: C2/m (12)



Entry 9:
A plane-wave DFT calculation with PBE was carried out for a geometry-optimized MgCdAu2 structure.

Unit cell a=5.803 b=5.803 c=4.722 alpha=90.00 beta=90.00 gamma=109.31
Atoms (fractional coordinates):
Mg 0.145 0.855 0.750
Mg 0.855 0.145 0.250
Cd 0.375 0.625 0.250
Cd 0.625 0.375 0.750
Au 0.115 0.340 0.750
Au 0.340 0.115 0.250
Au 0.660 0.885 0.750
Au 0.885 0.660 0.250

Results
* uncorrected energy: -21.3 eV per cell
* formation enthalpy at 0 K: -38.8 kJ/mol of atoms
* DOS at the Fermi energy: 2.316 states/eV per cell
* calculated volume: 18.8 Å³ per atom
* SG: Cmcm (63)



Entry 10:
A plane-wave DFT calculation with PBE was carried out for a geometry-optimized Cs2BiPd structure.

Unit cell a=9.860 b=9.860 c=9.860 alpha=94.02 beta=94.02 gamma=149.29
Atoms (fractional coordinates):
Cs 0.375 0.196 0.321
Cs 0.804 0.125 0.179
Cs 0.875 0.054 0.679
Cs 0.946 0.625 0.821
Bi 0.250 0.750 0.500
Bi 0.500 0.500 0.000
Pd 0.000 0.000 0.000
Pd 0.750 0.250 0.500

Results
* uncorrected energy: -23.1 eV per cell
* formation enthalpy at 0 K: -19.1 kJ/mol of atoms
* DOS at the Fermi energy: 7.584 states/eV per cell
* calculated volume: 59.0 Å³ per atom
* SG: I-42d (122)



Entry 11:
A plane-wave DFT calculation with PBE was carried out for a geometry-optimized Sc2FeTcSb structure.

Unit cell a=4.969 b=4.969 c=5.000 alpha=90.00 beta=90.00 gamma=90.00
Atoms (fractional coordinates):
Sc 0.000 0.500 0.000
Sc 0.500 0.000 0.000
Fe 0.000 0.000 0.500
Tc 0.500 0.500 0.000
Sb 0.500 0.500 0.500

Results
* raw formation energy: 0.50 eV per atom
* uncorrected energy: -33.1 eV per cell
* DOS at the Fermi energy: 8.265 states/eV per cell
* calculated volume: 24.7 Å³ per atom
* SG: P4/mmm (123)



Entry 12:
A plane-wave DFT calculation with PBE was carried out for a geometry-optimized CdPS2N structure.

Unit cell a=5.048 b=5.048 c=5.263 alpha=90.00 beta=90.00 gamma=90.00
Atoms (fractional coordinates):
Cd 0.000 0.000 0.000
P 0.000 0.000 0.500
S 0.000 0.500 0.000
S 0.500 0.000 0.000
N 0.500 0.500 0.500

Results
* raw formation energy: 1.97 eV per atom
* uncorrected energy: -13.1 eV per cell
* DOS at the Fermi energy: 4.814 states/eV per cell
* calculated volume: 26.8 Å³ per atom
* SG: P4/mmm (123)